Below is crystalline Ga3SiCl at its relaxed geometry, with properties calculated at the GGA-PBE level.

Output
For the calculated volume, the calculation gives 137 Å³/cell. As for the energy above the most stable polymorph in this dataset: 2.53 eV/f.u. Its raw formation energy is 0.639 eV per atom.

a = 5.153 Å, b = 5.153 Å, c = 5.153 Å
α = 90.00°, β = 90.00°, γ = 90.00°
Atoms (fractional coordinates):
Si 0.500 0.500 0.500
Cl 0.000 0.000 0.000
Ga 0.000 0.000 0.500
Ga 0.000 0.500 0.000
Ga 0.500 0.000 0.000



Below is crystalline BaMn at its relaxed geometry, with properties calculated at the GGA-PBE level.

Output
For the calculated volume, the calculation gives 122 Å³/cell. The formation energy comes out at 530 meV/atom.

a = 9.465 Å, b = 9.465 Å, c = 9.465 Å
α = 23.84°, β = 23.84°, γ = 23.84°
Atoms (fractional coordinates):
Mn 0.541 0.541 0.541
Mn 0.209 0.209 0.209
Ba 0.787 0.787 0.787
Ba 0.963 0.963 0.963



Below is crystalline V2ReTe at its relaxed geometry, with properties calculated at the GGA-PBE level.

Output
For the calculated volume, the calculation gives 197 Å³/cell. Its raw formation energy is 0.992 eV per atom.

a = 5.743 Å, b = 5.743 Å, c = 7.224 Å
α = 66.58°, β = 66.58°, γ = 90.00°
Atoms (fractional coordinates):
V 0.875 0.921 0.750
V 0.375 0.329 0.750
V 0.079 0.625 0.250
V 0.671 0.125 0.250
Re 0.750 0.250 0.500
Re 0.000 0.000 0.000
Te 0.250 0.750 0.500
Te 0.500 0.500 0.000



Below is crystalline Li2PIr at its relaxed geometry, with properties calculated at the GGA-PBE level.

Output
For the calculated volume, the calculation gives 54 Å³/cell. The formation energy comes out at -347 meV/atom.

a = 5.409 Å, b = 4.677 Å, c = 2.850 Å
α = 89.77°, β = 58.66°, γ = 114.82°
Atoms (fractional coordinates):
Li 0.500 0.000 0.500
Li 0.000 0.000 0.000
P 0.000 0.500 0.500
Ir 0.500 0.500 0.000



Below is crystalline CsNaTcS4 at its relaxed geometry, with properties calculated at the GGA-PBE level.

Output
For the calculated volume, the calculation gives 425 Å³/cell. Its raw formation energy is -0.710 eV per atom.

a = 6.688 Å, b = 7.031 Å, c = 9.487 Å
α = 90.00°, β = 107.70°, γ = 90.00°
Atoms (fractional coordinates):
Tc 0.202 0.750 0.326
Tc 0.798 0.250 0.674
S 0.603 0.250 0.823
S 0.002 0.000 0.713
S 0.998 0.000 0.287
S 0.397 0.750 0.177
S 0.998 0.500 0.287
S 0.393 0.750 0.555
S 0.607 0.250 0.445
S 0.002 0.500 0.713
Na 0.766 0.750 0.454
Na 0.234 0.250 0.546
Cs 0.719 0.750 0.926
Cs 0.281 0.250 0.074



Below is crystalline U3B7W at its relaxed geometry, with properties calculated at the GGA-PBE level.

Output
For the calculated volume, the calculation gives 259 Å³/cell. The formation energy comes out at -366 meV/atom.

a = 3.496 Å, b = 8.074 Å, c = 9.381 Å
α = 90.00°, β = 90.00°, γ = 102.50°
Atoms (fractional coordinates):
B 0.521 0.042 0.910
B 0.274 0.547 0.032
B 0.363 0.725 0.150
B 0.544 0.087 0.250
B 0.479 0.958 0.410
B 0.274 0.547 0.468
B 0.637 0.275 0.650
B 0.521 0.042 0.590
B 0.363 0.725 0.350
B 0.637 0.275 0.850
B 0.479 0.958 0.090
B 0.726 0.453 0.968
B 0.456 0.913 0.750
B 0.726 0.453 0.532
U 0.892 0.784 0.563
U 0.892 0.784 0.937
U 0.255 0.509 0.750
U 0.108 0.216 0.437
U 0.745 0.491 0.250
U 0.108 0.216 0.063
W 0.945 0.889 0.250
W 0.055 0.111 0.750



Below is crystalline BaMg2Sb at its relaxed geometry, with properties calculated at the GGA-PBE level.

Output
For the calculated volume, the calculation gives 133 Å³/cell. Its raw formation energy is -0.367 eV per atom.

a = 4.887 Å, b = 4.887 Å, c = 7.018 Å
α = 69.65°, β = 69.65°, γ = 59.96°
Atoms (fractional coordinates):
Sb 0.465 0.465 0.605
Mg 0.034 0.034 0.898
Mg 0.749 0.749 0.754
Ba 0.252 0.252 0.243



Below is crystalline Sr2MgGaCu at its relaxed geometry, with properties calculated at the GGA-PBE level.

Output
For the calculated volume, the calculation gives 161 Å³/cell. The formation energy comes out at -70 meV/atom.

a = 5.908 Å, b = 5.908 Å, c = 4.603 Å
α = 90.00°, β = 90.00°, γ = 90.00°
Atoms (fractional coordinates):
Ga 0.000 0.000 0.500
Cu 0.000 0.000 0.000
Mg 0.500 0.500 0.500
Sr 0.500 0.000 0.000
Sr 0.000 0.500 0.000



Below is crystalline MgZrBr2 at its relaxed geometry, with properties calculated at the GGA-PBE level.

Output
For the calculated volume, the calculation gives 95 Å³/cell. As for the energy above the most stable polymorph in this dataset: 1.49 eV/f.u. Its raw formation energy is -0.364 eV per atom.

a = 5.843 Å, b = 6.003 Å, c = 3.444 Å
α = 94.79°, β = 70.27°, γ = 122.57°
Atoms (fractional coordinates):
Zr 0.500 0.000 0.500
Br 0.000 0.000 0.000
Br 0.000 0.500 0.500
Mg 0.500 0.500 0.000



Below is crystalline ThSi6Tc12 at its relaxed geometry, with properties calculated at the GGA-PBE level.

Output
For the calculated volume, the calculation gives 297 Å³/cell. Its raw formation energy is -0.226 eV per atom.

a = 6.966 Å, b = 6.966 Å, c = 6.966 Å
α = 104.75°, β = 104.75°, γ = 104.75°
Atoms (fractional coordinates):
Tc 0.500 0.878 0.122
Tc 0.122 0.878 0.500
Tc 0.823 0.558 0.558
Tc 0.177 0.442 0.442
Tc 0.558 0.558 0.823
Tc 0.122 0.500 0.878
Tc 0.500 0.122 0.878
Tc 0.878 0.500 0.122
Tc 0.878 0.122 0.500
Tc 0.442 0.177 0.442
Tc 0.442 0.442 0.177
Tc 0.558 0.823 0.558
Si 0.749 0.749 0.290
Si 0.710 0.251 0.251
Si 0.251 0.251 0.710
Si 0.749 0.290 0.749
Si 0.251 0.710 0.251
Si 0.290 0.749 0.749
Th 0.000 0.000 0.000



Below is crystalline Os3Ru4Rh2 at its relaxed geometry, with properties calculated at the GGA-PBE level.

Output
For the calculated volume, the calculation gives 253 Å³/cell. The formation energy comes out at 9 meV/atom.

a = 4.742 Å, b = 8.437 Å, c = 6.983 Å
α = 71.52°, β = 89.96°, γ = 73.77°
Atoms (fractional coordinates):
Rh 0.779 0.277 0.529
Rh 0.221 0.723 0.471
Rh 0.332 0.501 0.249
Rh 0.668 0.499 0.751
Ru 0.667 0.836 0.581
Ru 0.556 0.055 0.807
Ru 0.890 0.389 0.139
Ru 0.110 0.611 0.861
Ru 0.444 0.945 0.193
Ru 0.002 0.163 0.920
Ru 0.333 0.164 0.419
Ru 0.998 0.837 0.080
Os 0.888 0.059 0.304
Os 0.443 0.278 0.030
Os 0.557 0.722 0.970
Os 0.112 0.941 0.696
Os 0.778 0.614 0.356
Os 0.222 0.386 0.644



Below is crystalline AlTcP2S at its relaxed geometry, with properties calculated at the GGA-PBE level.

Output
For the calculated volume, the calculation gives 96 Å³/cell. As for the energy above the most stable polymorph in this dataset: 2.44 eV/f.u. Its raw formation energy is 0.948 eV per atom.

a = 4.590 Å, b = 4.590 Å, c = 4.548 Å
α = 90.00°, β = 90.00°, γ = 90.00°
Atoms (fractional coordinates):
P 0.500 0.000 0.000
P 0.000 0.500 0.000
Al 0.000 0.000 0.000
S 0.000 0.000 0.500
Tc 0.500 0.500 0.500